(1)
# AcLaErLu PBE-GGA optimized geometry
# Spin magnetization ... 0.0 μB per formula unit
# Fermi-level density of states ... 6.2 states/eV/cell
# Space-group type ... F-43m, No. 216
# Uncorrected energy ... -17.8 eV/f.u.
data_AcLaErLu
_cell_length_a 5.856
_cell_length_b 5.856
_cell_length_c 5.856
_cell_angle_alpha 60.00
_cell_angle_beta 60.00
_cell_angle_gamma 60.00
_space_group_name_H-M_alt 'P 1'
_space_group_IT_number 1
loop_
_space_group_symop_operation_xyz
'x,y,z'
loop_
_atom_site_label
_atom_site_type_symbol
_atom_site_fract_x
_atom_site_fract_y
_atom_site_fract_z
_atom_site_occupancy
Ac1 Ac 0.000 0.000 0.000 1
La1 La 0.500 0.500 0.500 1
Er1 Er 0.750 0.750 0.750 1
Lu1 Lu 0.250 0.250 0.250 1


(2)
# RbFeCo2Au PBE-GGA optimized geometry
# Spin magnetization ... 7.7 μB per formula unit
# Fermi-level density of states ... 8.5 states/eV/cell
# Space-group type ... P4/mmm, No. 123
# Uncorrected energy ... -18.5 eV/f.u.
data_RbFeCo2Au
_cell_length_a 4.893
_cell_length_b 4.893
_cell_length_c 5.986
_cell_angle_alpha 90.00
_cell_angle_beta 90.00
_cell_angle_gamma 90.00
_space_group_name_H-M_alt 'P 1'
_space_group_IT_number 1
loop_
_space_group_symop_operation_xyz
'x,y,z'
loop_
_atom_site_label
_atom_site_type_symbol
_atom_site_fract_x
_atom_site_fract_y
_atom_site_fract_z
_atom_site_occupancy
Rb1 Rb 0.000 0.000 0.000 1
Fe1 Fe 0.500 0.500 0.000 1
Co1 Co 0.000 0.500 0.500 1
Co2 Co 0.500 0.000 0.500 1
Au1 Au 0.000 0.000 0.500 1


(3)
# Nd3Y12Sc PBE-GGA optimized geometry
# Spin magnetization ... 0.0 μB per formula unit
# Fermi-level density of states ... 24.3 states/eV/cell
# Space-group type ... P4/mmm, No. 123
# Uncorrected energy ... -97.7 eV/f.u.
data_Nd3Y12Sc
_cell_length_a 5.058
_cell_length_b 5.058
_cell_length_c 20.202
_cell_angle_alpha 90.00
_cell_angle_beta 90.00
_cell_angle_gamma 90.00
_space_group_name_H-M_alt 'P 1'
_space_group_IT_number 1
loop_
_space_group_symop_operation_xyz
'x,y,z'
loop_
_atom_site_label
_atom_site_type_symbol
_atom_site_fract_x
_atom_site_fract_y
_atom_site_fract_z
_atom_site_occupancy
Nd1 Nd 0.000 0.000 0.000 1
Nd2 Nd 0.000 0.000 0.253 1
Nd3 Nd 0.000 0.000 0.747 1
Y1 Y 0.000 0.500 0.127 1
Y2 Y 0.000 0.500 0.381 1
Y3 Y 0.000 0.500 0.619 1
Y4 Y 0.000 0.500 0.873 1
Y5 Y 0.500 0.000 0.127 1
Y6 Y 0.500 0.000 0.381 1
Y7 Y 0.500 0.000 0.619 1
Y8 Y 0.500 0.000 0.873 1
Y9 Y 0.500 0.500 0.000 1
Y10 Y 0.500 0.500 0.254 1
Y11 Y 0.500 0.500 0.500 1
Y12 Y 0.500 0.500 0.746 1
Sc1 Sc 0.000 0.000 0.500 1


(4)
# BeAs2Rh PBE-GGA optimized geometry
# Spin magnetization ... 0.0 μB per formula unit
# Fermi-level density of states ... 1.3 states/eV/cell
# Space-group type ... Imm2, No. 44
# Uncorrected energy ... -19.9 eV/f.u.
data_BeAs2Rh
_cell_length_a 4.846
_cell_length_b 4.846
_cell_length_c 4.846
_cell_angle_alpha 139.02
_cell_angle_beta 125.83
_cell_angle_gamma 70.10
_space_group_name_H-M_alt 'P 1'
_space_group_IT_number 1
loop_
_space_group_symop_operation_xyz
'x,y,z'
loop_
_atom_site_label
_atom_site_type_symbol
_atom_site_fract_x
_atom_site_fract_y
_atom_site_fract_z
_atom_site_occupancy
Be1 Be 0.000 0.000 0.000 1
As1 As 0.504 0.504 0.000 1
As2 As 0.765 0.265 0.500 1
Rh1 Rh 0.207 0.707 0.500 1


Number 1: DFT formation energy 0.32 eV/f.u.. Number 2: DFT formation energy 8.45 eV/f.u.. Number 3: DFT formation energy 0.47 eV/f.u.. Number 4: DFT formation energy 0.52 eV/f.u..